(1)
Entry from Alexandria: a relaxed structure of Hf2TiAl3 (PBE).

abc: 5.376 5.376 8.675
angles: 90.00 90.00 120.00
Fractional coordinates of all 12 atoms:
Hf1 0.667 0.333 0.449
Hf2 0.333 0.667 0.551
Hf3 0.333 0.667 0.949
Hf4 0.667 0.333 0.051
Ti1 0.000 0.000 0.500
Ti2 0.000 0.000 0.000
Al1 0.171 0.342 0.250
Al2 0.342 0.171 0.750
Al3 0.829 0.658 0.750
Al4 0.171 0.829 0.250
Al5 0.829 0.171 0.750
Al6 0.658 0.829 0.250

Properties
crystal system = hexagonal
V = 217 Å³ per cell
E_tot = -6.877 eV/atom

=====

(2)
Entry from Alexandria: a relaxed structure of MgTa2Au (PBE).

abc: 5.547 5.547 5.547
angles: 143.97 134.00 59.78
Fractional coordinates of all 4 atoms:
Au1 0.750 0.250 0.500
Mg1 0.250 0.750 0.500
Ta1 0.995 0.995 0.000
Ta2 0.505 0.505 0.000

Properties
crystal system = orthorhombic
V = 72 Å³ per cell
E_tot = -7.146 eV/atom

=====

(3)
Entry from Alexandria: a relaxed structure of VTe4Ir (PBE).

abc: 3.781 7.168 6.222
angles: 102.22 90.00 105.29
Fractional coordinates of all 6 atoms:
V1 0.495 0.989 0.563
Te1 0.859 0.718 0.588
Te2 0.101 0.202 0.384
Te3 0.404 0.807 0.113
Te4 0.637 0.275 0.901
Ir1 0.004 0.008 0.951

Properties
crystal system = monoclinic
E_form (uncorrected) = -321 meV per atom
V = 159 Å³ per cell

=====

(4)
Entry from Alexandria: a relaxed structure of LaPm4Er5 (PBE).

abc: 3.609 3.609 25.073
angles: 90.00 90.00 90.00
Fractional coordinates of all 10 atoms:
La1 0.000 0.000 0.000
Pm1 0.000 0.000 0.201
Pm2 0.000 0.000 0.400
Pm3 0.000 0.000 0.600
Pm4 0.000 0.000 0.799
Er1 0.500 0.500 0.102
Er2 0.500 0.500 0.301
Er3 0.500 0.500 0.500
Er4 0.500 0.500 0.699
Er5 0.500 0.500 0.898

Properties
crystal system = tetragonal
V = 327 Å³ per cell
E_tot = -4.654 eV/atom

=====

(5)
Entry from Alexandria: a relaxed structure of KSbAs2 (PBE).

abc: 10.870 10.870 10.870
angles: 17.22 17.22 17.22
Fractional coordinates of all 4 atoms:
As1 0.003 0.003 0.003
As2 0.497 0.497 0.497
K1 0.250 0.250 0.250
Sb1 0.750 0.750 0.750

Properties
crystal system = trigonal
E_form (uncorrected) = 344 meV per atom
V = 98 Å³ per cell

=====

(6)
Entry from Alexandria: a relaxed structure of YZrMo (PBE).

abc: 3.230 3.230 13.865
angles: 96.69 96.69 90.00
Fractional coordinates of all 6 atoms:
Mo1 0.276 0.276 0.552
Mo2 0.724 0.724 0.448
Zr1 0.155 0.155 0.311
Zr2 0.845 0.845 0.689
Y1 0.563 0.563 0.127
Y2 0.437 0.437 0.873

Properties
crystal system = tetragonal
energy above the most stable polymorph in this dataset = 0 meV/atom
V = 143 Å³ per cell